## BiS2ClF (PBE-GGA)

Data for a geometry-optimized BiS2ClF structure.

a = 5.421 Å, b = 5.421 Å, c = 5.317 Å
α = 90.00°, β = 90.00°, γ = 90.00°
Last column: magnetic moment on the atom in μB.
Element x y z (fractional)
S1 0.000 0.500 0.000  0.69
S2 0.500 0.000 0.000  0.69
F1 0.500 0.500 0.500  0.50
Bi1 0.000 0.000 0.000  -0.02
Cl1 0.000 0.000 0.500  0.06

Values from the calculation:
ΔE to the lowest computed polymorph: 95 meV/atom
SG: No. 123
Energy relative to the elements, uncorrected: 1.46 eV per formula unit
Total moment: 2.9 μB/f.u.



## PaTe2Se (PBE-GGA)

Data for a geometry-optimized PaTe2Se structure.

a = 4.148 Å, b = 4.148 Å, c = 9.654 Å
α = 77.59°, β = 77.59°, γ = 60.00°
Last column: magnetic moment on the atom in μB.
Element x y z (fractional)
Pa1 0.500 0.500 0.500  0.87
Te1 0.098 0.098 0.706  -0.02
Te2 0.902 0.902 0.294  -0.02
Se1 0.000 0.000 0.000  0.38

Values from the calculation:
SG: No. 166
Energy relative to the elements, uncorrected: -1.03 eV per formula unit
Total moment: 1.7 μB/f.u.



## Sc2Pd6Pt (PBE-GGA)

Data for a geometry-optimized Sc2Pd6Pt structure.

a = 4.062 Å, b = 6.188 Å, c = 6.479 Å
α = 84.09°, β = 71.73°, γ = 70.84°
Element x y z (fractional)
Sc1 0.350 0.500 0.799
Sc2 0.650 0.500 0.201
Pd1 0.992 0.175 0.840
Pd2 0.333 0.175 0.160
Pd3 0.667 0.825 0.840
Pd4 0.329 0.841 0.500
Pd5 0.671 0.159 0.500
Pd6 0.008 0.825 0.160
Pt1 0.000 0.500 0.500

Values from the calculation:
ΔE_f: -714 meV per atom
SG: No. 69
Total moment: 0.0 μB/f.u.



## Na4TlCd4 (PBE-GGA)

Data for a geometry-optimized Na4TlCd4 structure.

a = 4.690 Å, b = 7.440 Å, c = 7.440 Å
α = 84.30°, β = 71.63°, γ = 71.63°
Element x y z (fractional)
Na1 0.167 0.165 0.000
Na2 0.833 0.835 0.000
Na3 0.832 0.500 0.335
Na4 0.168 0.500 0.665
Tl1 0.500 0.500 0.000
Cd1 0.500 0.154 0.346
Cd2 0.500 0.846 0.654
Cd3 0.154 0.846 0.346
Cd4 0.846 0.154 0.654

Values from the calculation:
ΔE_f: -84 meV per atom
ΔE to the lowest computed polymorph: 0 meV/atom
SG: No. 139
Total moment: 0.0 μB/f.u.